1.
# VCr4Ni

A geometry-optimized VCr4Ni structure (PBE, the Alexandria database).

Properties
density of states at the Fermi level: 9.78 states/eV/cell
SG: F-43m
energy relative to the elements: 0.19 eV/atom
final energy: -8.7043 eV per atom

a b c (Å): 4.697 4.697 4.697
angles (deg): 60.00 60.00 60.00
Element x y z (fractional)
V: 0.250 0.250 0.250
Ni: 0.000 0.000 0.000
Cr: 0.624 0.624 0.128
Cr: 0.624 0.128 0.624
Cr: 0.128 0.624 0.624
Cr: 0.624 0.624 0.624

2.
# VCrNi

A geometry-optimized VCrNi structure (PBE, the Alexandria database).

Properties
density of states at the Fermi level: 10.61 states/eV/cell
SG: Fmm2
energy relative to the elements: -0.06 eV/atom
final energy: -8.2314 eV per atom

a b c (Å): 3.786 3.174 11.808
angles (deg): 90.00 90.00 90.00
Element x y z (fractional)
Ni: 0.000 0.000 0.650
Cr: 0.500 0.500 0.991
Ni: 0.500 0.000 0.150
Ni: 0.000 0.500 0.150
Cr: 0.000 0.500 0.491
V: 0.500 0.000 0.817
V: 0.000 0.500 0.817
Ni: 0.500 0.500 0.650
Cr: 0.000 0.000 0.991
Cr: 0.500 0.000 0.491
V: 0.500 0.500 0.317
V: 0.000 0.000 0.317

3.
# VCrNi

A geometry-optimized VCrNi structure (PBE, the Alexandria database).

Properties
density of states at the Fermi level: 8.17 states/eV/cell
SG: P1
energy relative to the elements: 0.06 eV/atom
final energy: -8.1129 eV per atom

a b c (Å): 4.238 4.657 4.699
angles (deg): 64.27 64.78 64.34
Element x y z (fractional)
V: 0.954 0.251 0.564
Ni: 0.310 0.571 0.591
Ni: 0.553 0.417 0.075
Cr: 0.911 0.761 0.076
V: 0.624 0.917 0.574
Cr: 0.248 0.060 0.069

4.
# VCrNi6

A geometry-optimized VCrNi6 structure (PBE, the Alexandria database).

Properties
density of states at the Fermi level: 8.77 states/eV/cell
SG: C2/m
energy relative to the elements: 0.21 eV/atom
final energy: -6.4686 eV per atom

a b c (Å): 4.231 4.231 6.405
angles (deg): 74.68 74.68 67.61
Element x y z (fractional)
Ni: 0.640 0.640 0.066
V: 0.500 0.500 0.500
Ni: 0.544 0.059 0.303
Ni: 0.360 0.360 0.934
Ni: 0.941 0.456 0.697
Cr: 0.000 0.000 0.000
Ni: 0.456 0.941 0.697
Ni: 0.059 0.544 0.303